(1)
Al3Si | meta-GGA SCAN | single point on PBEsol structure

It has space group P4/mmm (No. 123), with a = 3.412 Å, b = 3.412 Å, c = 5.480 Å, α = 90.00°, β = 90.00° and γ = 90.00°. Symmetry generates all atoms from Al at (0.000, 0.000, 0.000), Al at (0.500, 0.500, 0.259) and Si at (0.000, 0.000, 0.500).

For the uncorrected formation energy, the calculation gives 0.18 eV/atom.

=====

(2)
AlSi5 | meta-GGA SCAN | single point on PBEsol structure

It has space group P6/mmm (No. 191), with a = 4.9674 Å, b = 4.9674 Å, c = 4.3934 Å, α = 90.00°, β = 90.00° and γ = 120.00°. Symmetry generates all atoms from Al at (0.0000, 0.0000, 0.0000), Si at (0.0000, 0.5000, 0.5000) and Si at (0.3333, 0.6667, 0.0000).

For the uncorrected formation energy, the calculation gives 0.66 eV/atom.

=====

(3)
Al4Si | meta-GGA SCAN | single point on PBEsol structure

It has space group I4/m (No. 87), with a = 6.246 Å, b = 6.246 Å, c = 4.021 Å, α = 90.00°, β = 90.00° and γ = 90.00°. Symmetry generates all atoms from Al at (0.101, 0.701, 0.000) and Si at (0.000, 0.000, 0.500).

For the uncorrected formation energy, the calculation gives 0.11 eV/atom.

=====

What are the size of the total moment values for these records? In order: 0.0; 0.0; 0.0 μB/f.u..
What are the VASP energy values for these records? In order: -8.138; -8.979; -8.092 eV per atom.